## TlAs2SeBr (PBE-GGA)

Data for a geometry-optimized TlAs2SeBr structure.

The structure in POSCAR format:
```
TlAs2SeBr
1.0
4.951 0.000 0.000
0.000 4.951 0.000
0.000 0.000 7.989
Tl As Se Br
1 2 1 1
direct
0.000 0.000 0.000 Tl
0.000 0.500 0.500 As
0.500 0.000 0.500 As
0.500 0.500 0.500 Se
0.500 0.500 0.000 Br
```

Formation energy without anion corrections: 0.373 eV/atom
Density: 4.35 g/cm³
DOS(E_F): 0.6345 states/eV/atom


## CsCu2Hg2I7 (PBE-GGA)

Data for a geometry-optimized CsCu2Hg2I7 structure.

The structure in POSCAR format:
```
CsCu2Hg2I7
1.0
3.903 2.253 13.363
-3.903 2.253 13.363
0.000 -4.507 13.363
Cs Cu Hg I
1 2 2 7
direct
0.000 0.000 0.000 Cs
0.258 0.258 0.258 Cu
0.742 0.742 0.742 Cu
0.428 0.428 0.428 Hg
0.572 0.572 0.572 Hg
0.053 0.409 0.764 I
0.236 0.591 0.947 I
0.409 0.764 0.053 I
0.500 0.500 0.500 I
0.591 0.947 0.236 I
0.764 0.053 0.409 I
0.947 0.236 0.591 I
```

Formation energy without anion corrections: -0.422 eV/atom
Density: 3.65 g/cm³


## K4AgOs (PBE-GGA)

Data for a geometry-optimized K4AgOs structure.

The structure in POSCAR format:
```
K4AgOs
1.0
0.000 4.775 4.775
4.775 0.000 4.775
4.775 4.775 0.000
K Ag Os
4 1 1
direct
0.124 0.124 0.124 K
0.124 0.124 0.628 K
0.124 0.628 0.124 K
0.628 0.124 0.124 K
0.500 0.500 0.500 Ag
0.750 0.750 0.750 Os
```

Density: 3.47 g/cm³
Energy relative to the elements: 1270 meV/atom
DOS(E_F): 0.6917 states/eV/atom


## Ce2TaOs (PBE-GGA)

Data for a geometry-optimized Ce2TaOs structure.

The structure in POSCAR format:
```
Ce2TaOs
1.0
2.975 0.000 0.000
-1.488 2.577 0.000
0.000 0.000 31.995
Ce Ta Os
6 3 3
direct
0.000 0.000 0.091 Ce
0.000 0.000 0.909 Ce
0.333 0.667 0.575 Ce
0.333 0.667 0.758 Ce
0.667 0.333 0.242 Ce
0.667 0.333 0.425 Ce
0.000 0.000 0.000 Ta
0.333 0.667 0.667 Ta
0.667 0.333 0.333 Ta
0.000 0.000 0.500 Os
0.333 0.667 0.167 Os
0.667 0.333 0.833 Os
```

Density: 13.23 g/cm³
Energy relative to the elements: 453 meV/atom
DOS(E_F): 1.9647 states/eV/atom


## In2BiIO8 (PBE-GGA)

Data for a geometry-optimized In2BiIO8 structure.

The structure in POSCAR format:
```
In2BiIO8
1.0
3.481 -3.531 0.000
3.481 3.531 0.000
0.000 0.000 6.842
In Bi I O
2 1 1 8
direct
0.000 0.000 0.248 In
0.000 0.000 0.752 In
0.500 0.500 0.500 Bi
0.500 0.500 0.000 I
0.183 0.183 0.500 O
0.216 0.216 0.000 O
0.315 0.685 0.207 O
0.315 0.685 0.793 O
0.685 0.315 0.207 O
0.685 0.315 0.793 O
0.784 0.784 0.000 O
0.817 0.817 0.500 O
```

Formation energy without anion corrections: -0.943 eV/atom
Density: 6.85 g/cm³
DOS(E_F): 0.1455 states/eV/atom


## PmNdCuPt (PBE-GGA)

Data for a geometry-optimized PmNdCuPt structure.

The structure in POSCAR format:
```
PmNdCuPt
1.0
4.530 0.000 0.000
0.000 3.921 0.000
0.000 0.000 10.814
Pm Nd Cu Pt
2 2 2 2
direct
0.000 0.000 0.000 Pm
0.000 0.500 0.500 Pm
0.500 0.000 0.276 Nd
0.500 0.500 0.776 Nd
0.000 0.000 0.713 Cu
0.000 0.500 0.213 Cu
0.500 0.000 0.561 Pt
0.500 0.500 0.061 Pt
```

Density: 9.47 g/cm³
Energy relative to the elements: -696 meV/atom
DOS(E_F): 0.8337 states/eV/atom


## ScGeRh3 (PBE-GGA)

Data for a geometry-optimized ScGeRh3 structure.

The structure in POSCAR format:
```
ScGeRh3
1.0
-2.711 3.727 4.110
2.711 -3.727 4.110
2.711 3.727 -4.110
Sc Ge Rh
2 2 6
direct
0.263 0.013 0.250 Sc
0.737 0.987 0.750 Sc
0.000 0.500 0.500 Ge
0.500 0.500 0.000 Ge
0.055 0.305 0.750 Rh
0.308 0.000 0.808 Rh
0.308 0.500 0.308 Rh
0.692 0.000 0.192 Rh
0.692 0.500 0.692 Rh
0.945 0.695 0.250 Rh
```

Density: 8.52 g/cm³
Energy relative to the elements: -562 meV/atom
DOS(E_F): 0.5828 states/eV/atom


## Cu2AgSnC (PBE-GGA)

Data for a geometry-optimized Cu2AgSnC structure.

The structure in POSCAR format:
```
Cu2AgSnC
1.0
4.736 0.000 0.000
0.000 4.736 0.000
0.000 0.000 5.132
Cu Ag Sn C
2 1 1 1
direct
0.000 0.500 0.000 Cu
0.500 0.000 0.000 Cu
0.000 0.000 0.000 Ag
0.000 0.000 0.500 Sn
0.500 0.500 0.500 C
```

Density: 5.28 g/cm³
Energy relative to the elements: 1989 meV/atom
DOS(E_F): 0.5619 states/eV/atom


## NpZn6Ni6 (PBE-GGA)

Data for a geometry-optimized NpZn6Ni6 structure.

The structure in POSCAR format:
```
NpZn6Ni6
1.0
-2.465 4.172 4.320
2.465 -4.172 4.320
2.465 4.172 -4.320
Np Zn Ni
1 6 6
direct
0.000 0.000 0.000 Np
0.207 0.707 0.500 Zn
0.345 0.000 0.345 Zn
0.352 0.352 0.000 Zn
0.648 0.648 0.000 Zn
0.655 0.000 0.655 Zn
0.793 0.293 0.500 Zn
0.000 0.000 0.500 Ni
0.000 0.500 0.000 Ni
0.223 0.500 0.723 Ni
0.500 0.000 0.000 Ni
0.500 0.500 0.500 Ni
0.777 0.500 0.277 Ni
```

Density: 9.17 g/cm³
Energy relative to the elements: -159 meV/atom
DOS(E_F): 1.2948 states/eV/atom


## BeNi2Rh (PBE-GGA)

Data for a geometry-optimized BeNi2Rh structure.

The structure in POSCAR format:
```
BeNi2Rh
1.0
3.450 0.000 0.000
0.000 3.450 0.000
0.000 0.000 7.494
Be Ni Rh
2 4 2
direct
0.000 0.000 0.000 Be
0.500 0.500 0.500 Be
0.000 0.500 0.250 Ni
0.000 0.500 0.750 Ni
0.500 0.000 0.250 Ni
0.500 0.000 0.750 Ni
0.000 0.000 0.500 Rh
0.500 0.500 0.000 Rh
```

Density: 8.54 g/cm³
Energy relative to the elements: -171 meV/atom
DOS(E_F): 0.7555 states/eV/atom


## Ac2PrAu3 (PBE-GGA)

Data for a geometry-optimized Ac2PrAu3 structure.

The structure in POSCAR format:
```
Ac2PrAu3
1.0
7.494 -3.155 0.000
7.494 3.155 0.000
-2.442 0.000 8.139
Ac Pr Au
4 2 6
direct
0.166 0.168 0.084 Ac
0.168 0.166 0.584 Ac
0.832 0.834 0.416 Ac
0.834 0.832 0.916 Ac
0.499 0.501 0.750 Pr
0.501 0.499 0.250 Pr
0.001 0.999 0.250 Au
0.338 0.341 0.420 Au
0.341 0.338 0.920 Au
0.659 0.662 0.080 Au
0.662 0.659 0.580 Au
0.999 0.001 0.750 Au
```

Density: 10.23 g/cm³
Energy relative to the elements: -705 meV/atom
DOS(E_F): 0.9886 states/eV/atom


## RbPaSe2O (PBE-GGA)

Data for a geometry-optimized RbPaSe2O structure.

The structure in POSCAR format:
```
RbPaSe2O
1.0
8.022 0.000 0.000
0.000 4.309 0.000
-2.778 0.000 9.093
Rb Pa Se O
2 2 4 2
direct
0.188 0.250 0.309 Rb
0.812 0.750 0.691 Rb
0.307 0.250 0.822 Pa
0.693 0.750 0.178 Pa
0.319 0.750 0.035 Se
0.341 0.750 0.640 Se
0.659 0.250 0.360 Se
0.681 0.250 0.965 Se
0.061 0.250 0.765 O
0.939 0.750 0.235 O
```

Formation energy without anion corrections: -1.984 eV/atom
Density: 5.18 g/cm³
DOS(E_F): 0.0000 states/eV/atom


## Ti7Al2Au2 (PBE-GGA)

Data for a geometry-optimized Ti7Al2Au2 structure.

The structure in POSCAR format:
```
Ti7Al2Au2
1.0
2.607 -4.828 0.000
2.607 4.828 0.000
0.000 0.000 8.004
Ti Al Au
7 2 2
direct
0.000 0.000 0.000 Ti
0.000 0.500 0.302 Ti
0.000 0.500 0.698 Ti
0.500 0.000 0.302 Ti
0.500 0.000 0.698 Ti
0.500 0.500 0.206 Ti
0.500 0.500 0.794 Ti
0.287 0.713 0.000 Al
0.713 0.287 0.000 Al
0.245 0.245 0.500 Au
0.755 0.755 0.500 Au
```

Density: 6.45 g/cm³
Energy relative to the elements: 130 meV/atom
DOS(E_F): 1.3088 states/eV/atom


## KLa2Rh (PBE-GGA)

Data for a geometry-optimized KLa2Rh structure.

The structure in POSCAR format:
```
KLa2Rh
1.0
4.341 0.000 0.000
0.000 4.612 0.000
0.000 0.000 5.696
K La Rh
1 2 1
direct
0.000 0.000 0.000 K
0.500 0.000 0.500 La
0.500 0.500 0.000 La
0.000 0.500 0.500 Rh
```

Density: 6.11 g/cm³
Energy relative to the elements: 261 meV/atom
DOS(E_F): 0.9809 states/eV/atom


## NdTc4Sb12 (PBE-GGA)

Data for a geometry-optimized NdTc4Sb12 structure.

The structure in POSCAR format:
```
NdTc4Sb12
1.0
-4.748 4.748 4.748
4.748 -4.748 4.748
4.748 4.748 -4.748
Nd Tc Sb
1 4 12
direct
0.000 0.000 0.000 Nd
0.000 0.000 0.500 Tc
0.000 0.500 0.000 Tc
0.500 0.000 0.000 Tc
0.500 0.500 0.500 Tc
0.158 0.336 0.494 Sb
0.158 0.664 0.822 Sb
0.178 0.842 0.336 Sb
0.336 0.178 0.842 Sb
0.336 0.494 0.158 Sb
0.494 0.158 0.336 Sb
0.506 0.842 0.664 Sb
0.664 0.506 0.842 Sb
0.664 0.822 0.158 Sb
0.822 0.158 0.664 Sb
0.842 0.336 0.178 Sb
0.842 0.664 0.506 Sb
```

Formation energy without anion corrections: -0.103 eV/atom
Density: 7.75 g/cm³
DOS(E_F): 1.1520 states/eV/atom


## CsCuIr2 (PBE-GGA)

Data for a geometry-optimized CsCuIr2 structure.

The structure in POSCAR format:
```
CsCuIr2
1.0
4.843 0.000 0.000
0.000 4.843 0.000
0.000 0.000 18.001
Cs Cu Ir
4 4 8
direct
0.000 0.000 0.000 Cs
0.000 0.500 0.250 Cs
0.500 0.000 0.750 Cs
0.500 0.500 0.500 Cs
0.000 0.000 0.500 Cu
0.000 0.500 0.750 Cu
0.500 0.000 0.250 Cu
0.500 0.500 0.000 Cu
0.030 0.750 0.625 Ir
0.250 0.030 0.375 Ir
0.250 0.470 0.875 Ir
0.470 0.750 0.125 Ir
0.530 0.250 0.125 Ir
0.750 0.530 0.875 Ir
0.750 0.970 0.375 Ir
0.970 0.250 0.625 Ir
```

Density: 9.14 g/cm³
Energy relative to the elements: 936 meV/atom
DOS(E_F): 1.3127 states/eV/atom


## RbPuCu2Br6 (PBE-GGA)

Data for a geometry-optimized RbPuCu2Br6 structure.

The structure in POSCAR format:
```
RbPuCu2Br6
1.0
3.640 2.102 8.180
-3.640 2.102 8.180
0.000 -4.203 8.180
Rb Pu Cu Br
1 1 2 6
direct
0.000 0.000 0.000 Rb
0.500 0.500 0.500 Pu
0.232 0.232 0.232 Cu
0.768 0.768 0.768 Cu
0.100 0.452 0.732 Br
0.268 0.900 0.548 Br
0.452 0.732 0.100 Br
0.548 0.268 0.900 Br
0.732 0.100 0.452 Br
0.900 0.548 0.268 Br
```

Formation energy without anion corrections: -1.051 eV/atom
Density: 4.14 g/cm³
DOS(E_F): 1.0034 states/eV/atom


## Rb2NaLiW (PBE-GGA)

Data for a geometry-optimized Rb2NaLiW structure.

The structure in POSCAR format:
```
Rb2NaLiW
1.0
6.655 0.000 0.000
0.000 6.655 0.000
0.000 0.000 5.682
Rb Na Li W
2 1 1 1
direct
0.000 0.500 0.000 Rb
0.500 0.000 0.000 Rb
0.000 0.000 0.500 Na
0.000 0.000 0.000 Li
0.500 0.500 0.500 W
```

Density: 2.54 g/cm³
Energy relative to the elements: 1506 meV/atom
DOS(E_F): 0.5959 states/eV/atom


## AcPrGe2Pt2 (PBE-GGA)

Data for a geometry-optimized AcPrGe2Pt2 structure.

The structure in POSCAR format:
```
AcPrGe2Pt2
1.0
4.364 0.000 0.000
-2.182 3.780 0.000
0.000 0.000 8.644
Ac Pr Ge Pt
1 1 2 2
direct
0.000 0.000 0.000 Ac
0.000 0.000 0.500 Pr
0.333 0.667 0.267 Ge
0.667 0.333 0.733 Ge
0.333 0.667 0.744 Pt
0.667 0.333 0.256 Pt
```

Density: 10.52 g/cm³
Energy relative to the elements: -1036 meV/atom
DOS(E_F): 0.8600 states/eV/atom


## FeRuBr2 (PBE-GGA)

Data for a geometry-optimized FeRuBr2 structure.

The structure in POSCAR format:
```
FeRuBr2
1.0
3.699 0.000 0.000
-1.850 3.204 0.000
0.000 0.000 22.399
Fe Ru Br
3 3 6
direct
0.000 0.000 0.000 Fe
0.333 0.667 0.667 Fe
0.667 0.333 0.333 Fe
0.000 0.000 0.500 Ru
0.333 0.667 0.167 Ru
0.667 0.333 0.833 Ru
0.000 0.000 0.104 Br
0.000 0.000 0.896 Br
0.333 0.667 0.563 Br
0.333 0.667 0.771 Br
0.667 0.333 0.229 Br
0.667 0.333 0.437 Br
```

Formation energy without anion corrections: 0.745 eV/atom
Density: 5.94 g/cm³
DOS(E_F): 1.2526 states/eV/atom


## Tl2BiPd3 (PBE-GGA)

Data for a geometry-optimized Tl2BiPd3 structure.

The structure in POSCAR format:
```
Tl2BiPd3
1.0
7.806 0.000 0.000
0.000 4.468 0.000
-2.424 0.000 7.543
Tl Bi Pd
4 2 6
direct
0.033 0.250 0.337 Tl
0.226 0.250 0.976 Tl
0.774 0.750 0.024 Tl
0.967 0.750 0.663 Tl
0.480 0.250 0.686 Bi
0.520 0.750 0.314 Bi
0.142 0.750 0.143 Pd
0.260 0.750 0.513 Pd
0.394 0.750 0.887 Pd
0.606 0.250 0.113 Pd
0.740 0.250 0.487 Pd
0.858 0.250 0.857 Pd
```

Density: 11.83 g/cm³
Energy relative to the elements: -197 meV/atom
DOS(E_F): 0.3983 states/eV/atom


## SmDy3Ag3 (PBE-GGA)

Data for a geometry-optimized SmDy3Ag3 structure.

The structure in POSCAR format:
```
SmDy3Ag3
1.0
5.085 -5.222 0.000
5.085 5.222 0.000
-1.193 0.000 7.025
Sm Dy Ag
2 6 6
direct
0.167 0.167 0.449 Sm
0.833 0.833 0.551 Sm
0.232 0.768 0.000 Dy
0.242 0.242 0.994 Dy
0.314 0.686 0.500 Dy
0.686 0.314 0.500 Dy
0.758 0.758 0.006 Dy
0.768 0.232 0.000 Dy
0.019 0.480 0.733 Ag
0.462 0.462 0.795 Ag
0.480 0.019 0.733 Ag
0.520 0.981 0.267 Ag
0.538 0.538 0.205 Ag
0.981 0.520 0.267 Ag
```

Density: 8.56 g/cm³
Energy relative to the elements: -153 meV/atom
DOS(E_F): 0.7767 states/eV/atom


## MgGePCl2 (PBE-GGA)

Data for a geometry-optimized MgGePCl2 structure.

The structure in POSCAR format:
```
MgGePCl2
1.0
4.625 0.000 0.000
0.000 4.625 0.000
0.000 0.000 5.533
Mg Ge P Cl
1 1 1 2
direct
0.000 0.000 0.000 Mg
0.500 0.500 0.500 Ge
0.000 0.000 0.500 P
0.000 0.500 0.000 Cl
0.500 0.000 0.000 Cl
```

Formation energy without anion corrections: -0.204 eV/atom
Density: 2.79 g/cm³
DOS(E_F): 0.7096 states/eV/atom


## BeCdAu2 (PBE-GGA)

Data for a geometry-optimized BeCdAu2 structure.

The structure in POSCAR format:
```
BeCdAu2
1.0
3.049 0.000 0.000
0.000 4.280 0.000
-1.515 0.000 5.162
Be Cd Au
1 1 2
direct
0.000 0.000 0.000 Be
0.625 0.500 0.266 Cd
0.258 0.000 0.534 Au
0.896 0.500 0.810 Au
```

Density: 12.71 g/cm³
Energy relative to the elements: 26 meV/atom
DOS(E_F): 0.2608 states/eV/atom


Number 1: spin magnetization 0.0 μB/cell. Number 2: spin magnetization 0.0 μB/cell. Number 3: spin magnetization 2.3 μB/cell. Number 4: spin magnetization 0.0 μB/cell. Number 5: spin magnetization 0.0 μB/cell. Number 6: spin magnetization 0.0 μB/cell. Number 7: spin magnetization 0.0 μB/cell. Number 8: spin magnetization 1.2 μB/cell. Number 9: spin magnetization 3.5 μB/cell. Number 10: spin magnetization 2.6 μB/cell. Number 11: spin magnetization 0.0 μB/cell. Number 12: spin magnetization 0.0 μB/cell. Number 13: spin magnetization 1.8 μB/cell. Number 14: spin magnetization 0.0 μB/cell. Number 15: spin magnetization 2.4 μB/cell. Number 16: spin magnetization 0.0 μB/cell. Number 17: spin magnetization 5.0 μB/cell. Number 18: spin magnetization 4.9 μB/cell. Number 19: spin magnetization 0.0 μB/cell. Number 20: spin magnetization 6.2 μB/cell. Number 21: spin magnetization 0.0 μB/cell. Number 22: spin magnetization 0.0 μB/cell. Number 23: spin magnetization 0.0 μB/cell. Number 24: spin magnetization 0.0 μB/cell.